Entry 1:
Sr4AgPd2 after structural relaxation. Source: Alexandria, functional PBE-GGA.

Cell lengths 7.7922, 7.7922, 8.4169 Å; angles 105.41, 105.41, 74.13 degrees
Closest atoms and distances in Å follow each position.
Fractional positions:
Sr1 0.1479 0.6210 0.9705  3 Pd 3.10-3.19, 2 Ag 3.28-3.31
Pd1 0.3329 0.3329 0.6935  2 Pd 2.95, 7 Sr 3.13-3.28
Pd2 0.4324 0.9308 0.6182  1 Ag 2.93, 1 Pd 2.95, 5 Sr 3.19-3.21
Sr2 0.1285 0.1285 0.3443  4 Pd 3.18-3.26, 1 Ag 3.44
Sr3 0.6127 0.6128 0.8250  3 Pd 3.20-3.28, 2 Ag 3.26-3.40
Pd3 0.3403 0.3402 0.1973  7 Sr 3.10-3.36
Sr4 0.6378 0.1589 0.4756  4 Pd 3.15-3.32, 2 Ag 3.32-3.33
Ag1 0.8355 0.8355 0.1929  7 Sr 3.28-3.44
Ag2 0.8320 0.8319 0.6943  2 Pd 2.93, 2 Sr 3.26
Pd4 0.9308 0.4323 0.6183  1 Ag 2.93, 1 Pd 2.95, 5 Sr 3.19-3.21
Sr5 0.6177 0.6178 0.3424  3 Pd 3.20-3.25, 2 Ag 3.26-3.34
Sr6 0.1216 0.1215 0.8316  4 Pd 3.20-3.36, 1 Ag 3.40
Sr7 0.6211 0.1480 0.9705  3 Pd 3.10-3.19, 2 Ag 3.28-3.31
Sr8 0.1589 0.6378 0.4756  4 Pd 3.15-3.32, 2 Ag 3.32-3.33

Calculated values
Distance to the lowest polymorph of the same formula, eV per formula unit: 0.00
ΔH_f (0 K), eV per atom: -0.454
Theoretical density, Mg/m³: 4.809
M_tot, μB/atom: 0.000
Total energy, eV/atom: -3.31
Symmetry: Cm, No. 8


Entry 2:
SrAgPd2 after structural relaxation. Source: Alexandria, functional PBE-GGA.

Cell lengths 4.6510, 4.6510, 9.9520 Å; angles 76.49, 76.49, 90.00 degrees
Closest atoms and distances in Å follow each position.
Fractional positions:
Sr1 0.5000 0.5000 0.0000  4 Pd 3.14, 4 Ag 3.29
Ag1 0.0000 0.0000 0.0000  4 Pd 2.69
Pd1 0.8750 0.9981 0.7500  2 Pd 2.61, 2 Ag 2.69
Pd2 0.3750 0.2519 0.7500  2 Pd 2.61, 2 Ag 2.69
Pd3 0.7481 0.1250 0.2500  2 Pd 2.61, 2 Ag 2.69
Ag2 0.7500 0.2500 0.5000  4 Pd 2.69
Pd4 0.0019 0.6250 0.2500  2 Pd 2.61, 2 Ag 2.69
Sr2 0.2500 0.7500 0.5000  4 Pd 3.14, 4 Ag 3.29

Calculated values
Distance to the lowest polymorph of the same formula, eV per formula unit: 1.07
ΔH_f (0 K), eV per atom: -0.109
Theoretical density, Mg/m³: 6.674
M_tot, μB/atom: 0.000
Total energy, eV/atom: -3.84
Symmetry: I-42d, No. 122


Entry 3:
Sr5AgPd after structural relaxation. Source: Alexandria, functional PBE-GGA.

Cell lengths 4.5410, 8.7131, 14.4174 Å; angles 86.82, 90.00, 90.00 degrees
Closest atoms and distances in Å follow each position.
Fractional positions:
Sr1 0.7500 0.9374 0.6653  1 Pd 3.27, 2 Ag 3.35
Sr2 0.7500 0.6352 0.8728  1 Pd 3.28, 2 Ag 3.46
Sr3 0.2500 0.0626 0.3347  1 Pd 3.27, 2 Ag 3.35
Sr4 0.2500 0.8535 0.0720  3 Ag 3.26-3.43
Pd1 0.7500 0.5635 0.6516  7 Sr 3.10-3.28
Pd2 0.2500 0.4365 0.3484  7 Sr 3.10-3.28
Sr5 0.2500 0.3428 0.7200  2 Pd 3.10
Sr6 0.7500 0.1465 0.9280  3 Ag 3.26-3.43
Ag1 0.2500 0.9328 0.8365  7 Sr 3.26-3.46
Sr7 0.2500 0.3648 0.1272  1 Pd 3.28, 2 Ag 3.46
Sr8 0.7500 0.6572 0.2800  2 Pd 3.10
Sr9 0.2500 0.6736 0.5168  3 Pd 3.11-3.27
Sr10 0.7500 0.3264 0.4832  3 Pd 3.11-3.27
Ag2 0.7500 0.0672 0.1635  7 Sr 3.26-3.46

Calculated values
ΔH_f (0 K), eV per atom: -0.265
Theoretical density, Mg/m³: 3.804
M_tot, μB/atom: 0.000
Total energy, eV/atom: -2.62
Symmetry: P2_1/m, No. 11


Entry 4:
Sr3Ag2Pd after structural relaxation. Source: Alexandria, functional PBE-GGA.

Cell lengths 4.6225, 12.5968, 12.9744 Å; angles 90.00, 90.00, 90.00 degrees
Closest atoms and distances in Å follow each position.
Fractional positions:
Sr1 0.2500 0.4456 0.3853  3 Pd 3.22-3.24, 5 Ag 3.32-3.44
Pd1 0.7500 0.8745 0.8764  3 Ag 2.83-2.84, 2 Sr 3.16
Ag1 0.7500 0.3102 0.5132  2 Pd 2.84
Pd2 0.7500 0.6255 0.3764  3 Ag 2.83-2.84, 2 Sr 3.16
Sr2 0.2500 0.7996 0.7277  2 Pd 3.16, 4 Ag 3.37-3.45
Pd3 0.2500 0.3745 0.6236  3 Ag 2.83-2.84, 2 Sr 3.16
Sr3 0.7500 0.2004 0.2723  2 Pd 3.16, 4 Ag 3.37-3.45
Ag2 0.2500 0.9993 0.3039  1 Pd 2.83
Sr4 0.2500 0.1292 0.5495  1 Pd 3.24, 5 Ag 3.28-3.58
Ag3 0.7500 0.1898 0.0132  2 Pd 2.84
Sr5 0.2500 0.3708 0.0495  1 Pd 3.24, 5 Ag 3.28-3.58
Sr6 0.7500 0.8708 0.4505  1 Pd 3.24, 5 Ag 3.28-3.58
Ag4 0.2500 0.6898 0.4868  2 Pd 2.84
Ag5 0.7500 0.0007 0.6961  1 Pd 2.83
Ag6 0.2500 0.8102 0.9868  2 Pd 2.84
Ag7 0.2500 0.5007 0.8039  1 Pd 2.83
Sr7 0.7500 0.6292 0.9505  1 Pd 3.24, 5 Ag 3.28-3.58
Sr8 0.7500 0.5544 0.6147  3 Pd 3.22-3.24, 5 Ag 3.32-3.44
Sr9 0.2500 0.7004 0.2277  2 Pd 3.16, 4 Ag 3.37-3.45
Sr10 0.7500 0.2996 0.7723  2 Pd 3.16, 4 Ag 3.37-3.45
Ag8 0.7500 0.4993 0.1961  1 Pd 2.83
Sr11 0.2500 0.0544 0.8853  3 Pd 3.22-3.24, 5 Ag 3.32-3.44
Sr12 0.7500 0.9456 0.1147  3 Pd 3.22-3.24, 5 Ag 3.32-3.44
Pd4 0.2500 0.1255 0.1236  3 Ag 2.83-2.84, 2 Sr 3.16

Calculated values
ΔH_f (0 K), eV per atom: -0.402
Theoretical density, Mg/m³: 5.143
M_tot, μB/atom: 0.000
Total energy, eV/atom: -3.06
Symmetry: Pnma, No. 62


Entry 5:
SrAg3Pd after structural relaxation. Source: Alexandria, functional PBE-GGA.

Cell lengths 5.5541, 7.3544, 5.7258 Å; angles 90.00, 90.00, 69.33 degrees
Closest atoms and distances in Å follow each position.
Fractional positions:
Ag1 0.0693 0.6617 0.8095  4 Ag 2.78-2.94, 2 Pd 2.83-2.84
Pd1 0.6691 0.9525 0.0524  5 Ag 2.76-2.84, 1 Sr 2.98
Pd2 0.8915 0.0132 0.5524  5 Ag 2.76-2.84, 1 Sr 2.98
Ag2 0.4913 0.3040 0.3095  4 Ag 2.78-2.94, 2 Pd 2.83-2.84
Ag3 0.6032 0.5972 0.0524  1 Pd 2.76, 2 Ag 2.85
Sr1 0.0716 0.1341 0.0524  4 Pd 2.98-3.26, 2 Ag 3.29
Ag4 0.4912 0.3040 0.7952  4 Ag 2.78-2.94, 2 Pd 2.83-2.84
Ag5 0.9574 0.3685 0.5524  1 Pd 2.76, 2 Ag 2.85
Sr2 0.4890 0.8316 0.5524  4 Pd 2.98-3.26, 2 Ag 3.29
Ag6 0.0693 0.6617 0.2952  4 Ag 2.78-2.94, 2 Pd 2.83-2.84

Calculated values
Distance to the lowest polymorph of the same formula, eV per formula unit: 0.00
ΔH_f (0 K), eV per atom: -0.244
Theoretical density, Mg/m³: 7.856
M_tot, μB/atom: 0.000
Total energy, eV/atom: -3.33
Symmetry: P2_1/m, No. 11


Entry 6:
Sr3Ag3Pd2 after structural relaxation. Source: Alexandria, functional PBE-GGA.

Cell lengths 4.6488, 6.0481, 16.2831 Å; angles 90.00, 90.00, 112.60 degrees
Closest atoms and distances in Å follow each position.
Fractional positions:
Pd1 0.7981 0.5963 0.6083  3 Ag 2.76
Pd2 0.2019 0.4037 0.3917  3 Ag 2.76
Ag1 0.3843 0.7686 0.9609  2 Pd 2.76, 1 Ag 2.88
Sr1 0.0957 0.1914 0.9008  7 Ag 3.24-3.46, 4 Pd 3.25-3.58
Sr2 0.9043 0.8086 0.4008  7 Ag 3.24-3.46, 4 Pd 3.25-3.58
Ag2 0.3371 0.6742 0.2500  2 Pd 2.76
Ag3 0.6157 0.2314 0.4609  2 Pd 2.76, 1 Ag 2.88
Pd3 0.7981 0.5963 0.8917  3 Ag 2.76
Sr3 0.3718 0.7436 0.7500  5 Ag 3.25-3.44, 4 Pd 3.38
Sr4 0.0957 0.1914 0.5992  7 Ag 3.24-3.46, 4 Pd 3.25-3.58
Sr5 0.9043 0.8086 0.0992  7 Ag 3.24-3.46, 4 Pd 3.25-3.58
Ag4 0.6629 0.3258 0.7500  2 Pd 2.76
Ag5 0.3843 0.7686 0.5391  2 Pd 2.76, 1 Ag 2.88
Sr6 0.6282 0.2564 0.2500  5 Ag 3.25-3.44, 4 Pd 3.38
Ag6 0.6157 0.2314 0.0391  2 Pd 2.76, 1 Ag 2.88
Pd4 0.2019 0.4037 0.1083  3 Ag 2.76

Calculated values
ΔH_f (0 K), eV per atom: -0.403
Theoretical density, Mg/m³: 6.281
M_tot, μB/atom: 0.000
Total energy, eV/atom: -3.40
Symmetry: Cmcm, No. 63


Entry 7:
Sr2TcAgPd after structural relaxation. Source: Alexandria, functional PBE-GGA.

Cell lengths 5.8530, 5.0048, 5.8530 Å; angles 90.00, 90.00, 90.00 degrees
Closest atoms and distances in Å follow each position.
Fractional positions:
Tc1 0.0000 0.5000 0.0000  2 Ag 2.50
Pd1 0.5000 0.5000 0.5000  8 Sr 3.85, 4 Tc 4.14
Sr1 0.0000 0.0000 0.5000  2 Ag 2.93
Ag1 0.0000 0.0000 0.0000  2 Tc 2.50
Sr2 0.5000 0.0000 0.0000  2 Ag 2.93

Calculated values
ΔH_f (0 K), eV per atom: 0.814
Theoretical density, Mg/m³: 4.722
M_tot, μB/atom: 0.641
Total energy, eV/atom: -3.54
Symmetry: P4/mmm, No. 123


Entry 8:
Sr2ThAgPd6 after structural relaxation. Source: Alexandria, functional PBE-GGA.

Cell lengths 7.2418, 7.2418, 7.2418 Å; angles 60.00, 60.00, 90.00 degrees
Closest atoms and distances in Å follow each position.
Fractional positions:
Sr1 0.7500 0.2500 0.5000  12 Pd 3.62
Ag1 0.0000 0.0000 0.0000  6 Pd 2.56
Pd1 0.7505 0.2495 0.0000  1 Ag 2.56, 1 Th 2.57
Pd2 0.7505 0.7505 0.4990  1 Ag 2.56, 1 Th 2.57
Sr2 0.2500 0.7500 0.5000  12 Pd 3.62
Th1 0.5000 0.5000 0.0000  6 Pd 2.57
Pd3 0.2495 0.2495 0.5010  1 Ag 2.56, 1 Th 2.57
Pd4 0.2495 0.2495 0.0000  1 Ag 2.56, 1 Th 2.57
Pd5 0.2495 0.7505 0.0000  1 Ag 2.56, 1 Th 2.57
Pd6 0.7505 0.7505 0.0000  1 Ag 2.56, 1 Th 2.57

Calculated values
ΔH_f (0 K), eV per atom: -0.108
Theoretical density, Mg/m³: 7.134
M_tot, μB/atom: 0.000
Total energy, eV/atom: -4.59
Symmetry: Fm-3m, No. 225


Entry 9:
SrTi2AgPd after structural relaxation. Source: Alexandria, functional PBE-GGA.

Cell lengths 4.9716, 5.2369, 4.9716 Å; angles 90.00, 90.00, 90.00 degrees
Closest atoms and distances in Å follow each position.
Fractional positions:
Ag1 0.0000 0.0000 0.0000  4 Ti 2.49, 2 Pd 2.62
Pd1 0.0000 0.5000 0.0000  2 Ag 2.62
Ti1 0.5000 0.0000 0.0000  2 Ag 2.49
Ti2 0.0000 0.0000 0.5000  2 Ag 2.49
Sr1 0.5000 0.5000 0.5000  4 Pd 3.52, 8 Ti 3.61

Calculated values
ΔH_f (0 K), eV per atom: 0.662
Theoretical density, Mg/m³: 5.101
M_tot, μB/atom: 0.765
Total energy, eV/atom: -4.44
Symmetry: P4/mmm, No. 123


Entry 10:
Sr2Tl3AgPd4 after structural relaxation. Source: Alexandria, functional PBE-GGA.

Cell lengths 4.3177, 4.3177, 12.7813 Å; angles 90.00, 90.00, 90.00 degrees
Closest atoms and distances in Å follow each position.
Fractional positions:
Sr1 0.0000 0.5000 0.7318  4 Pd 3.24, 4 Tl 3.49
Tl1 0.0000 0.5000 0.1354  5 Pd 2.77
Pd1 0.5000 0.0000 0.6477  3 Tl 2.77-2.87, 2 Ag 2.87
Pd2 0.0000 0.0000 0.0000  4 Tl 2.77, 4 Pd 3.05
Pd3 0.0000 0.5000 0.3523  3 Tl 2.77-2.87, 2 Ag 2.87
Ag1 0.5000 0.5000 0.5000  4 Pd 2.87, 4 Tl 3.05
Pd4 0.5000 0.5000 0.0000  4 Tl 2.77, 4 Pd 3.05
Tl2 0.0000 0.0000 0.5000  4 Pd 2.87, 4 Ag 3.05
Tl3 0.5000 0.0000 0.8646  5 Pd 2.77
Sr2 0.5000 0.0000 0.2682  4 Pd 3.24, 4 Tl 3.49

Calculated values
ΔH_f (0 K), eV per atom: -0.376
Theoretical density, Mg/m³: 9.213
M_tot, μB/atom: 0.000
Total energy, eV/atom: -3.78
Symmetry: P-4m2, No. 115


Entry 11:
SrTlAgPd3 after structural relaxation. Source: Alexandria, functional PBE-GGA.

Cell lengths 6.3757, 6.2485, 7.2777 Å; angles 115.42, 90.00, 90.00 degrees
Closest atoms and distances in Å follow each position.
Fractional positions:
Tl1 0.7500 0.6504 0.3008  5 Pd 2.83-2.89
Ag1 0.7500 0.0997 0.1993  4 Pd 2.70, 1 Sr 2.94
Pd1 0.0000 0.7220 0.0000  2 Ag 2.70, 3 Pd 2.77-2.95, 2 Tl 2.89
Pd2 0.5000 0.2780 0.0000  2 Ag 2.70, 3 Pd 2.77-2.95, 2 Tl 2.89
Sr1 0.7500 0.3233 0.6466  1 Ag 2.94, 6 Pd 3.14-3.17, 2 Tl 3.21
Pd3 0.5000 0.7220 0.0000  2 Ag 2.70, 3 Pd 2.77-2.95, 2 Tl 2.89
Ag2 0.2500 0.9003 0.8007  4 Pd 2.70, 1 Sr 2.94
Pd4 0.0000 0.2780 0.0000  2 Ag 2.70, 3 Pd 2.77-2.95, 2 Tl 2.89
Pd5 0.2500 0.1344 0.2688  1 Tl 2.83, 4 Pd 2.95, 1 Ag 3.08
Pd6 0.7500 0.8656 0.7312  1 Tl 2.83, 4 Pd 2.95, 1 Ag 3.08
Sr2 0.2500 0.6767 0.3534  1 Ag 2.94, 6 Pd 3.14-3.17, 2 Tl 3.21
Tl2 0.2500 0.3496 0.6992  5 Pd 2.83-2.89

Calculated values
ΔH_f (0 K), eV per atom: -0.207
Theoretical density, Mg/m³: 9.121
M_tot, μB/atom: 0.000
Total energy, eV/atom: -3.95
Symmetry: Cmcm, No. 63